Entry from Alexandria: a relaxed VPbO3 crystal (PBE+U).

VASP energy	-6.580	eV/atom
SG	No. 148

Cell: 8.980 8.980 8.980 Å, 105.79 105.79 105.79°
Last column: magnetic moment on the atom in μB.
Positions (direct):
O 0.459 0.158 0.612  -0.06
O 0.388 0.541 0.842  -0.06
O 0.183 0.927 0.287  -0.04
O 0.804 0.473 0.871  -0.05
O 0.527 0.129 0.196  -0.05
O 0.473 0.871 0.804  -0.05
O 0.129 0.196 0.527  -0.05
O 0.817 0.073 0.713  -0.04
O 0.196 0.527 0.129  -0.05
O 0.541 0.842 0.388  -0.06
O 0.713 0.817 0.073  -0.04
O 0.842 0.388 0.541  -0.06
O 0.158 0.612 0.459  -0.06
O 0.073 0.713 0.817  -0.04
O 0.287 0.183 0.927  -0.04
O 0.927 0.287 0.183  -0.04
O 0.612 0.459 0.158  -0.06
O 0.871 0.804 0.473  -0.05
V 0.266 0.109 0.467  0.96
V 0.891 0.533 0.734  0.96
V 0.109 0.467 0.266  0.96
V 0.734 0.891 0.533  0.96
V 0.533 0.734 0.891  0.96
V 0.467 0.266 0.109  0.96
Pb 0.191 0.851 0.669  0.01
Pb 0.851 0.669 0.191  0.01
Pb 0.669 0.191 0.851  0.01
Pb 0.149 0.331 0.809  0.01
Pb 0.331 0.809 0.149  0.01
Pb 0.809 0.149 0.331  0.01